{
  "formula": "VFeP2O8F2",
  "functional": "GGA+U",
  "state": "optimized geometry",
  "final_energy_ev_per_atom": -6.71,
  "de_polymorph_mev_per_atom": 171,
  "lattice_angstrom": [[-2.2208, 4.9207, -0.6529], [1.2270, -3.0187, -3.6540], [-7.0911, -3.3284, 3.4490]],
  "species": ["O", "O", "O", "O", "O", "O", "O", "O", "F", "F", "P", "P", "V", "Fe"],
  "fractional_positions": [[0.8759, 0.0306, 0.7748], [0.5584, 0.5491, 0.9372], [0.1651, 0.4013, 0.6018], [0.1241, 0.9694, 0.2252], [0.1309, 0.7112, 0.8824], [0.4416, 0.4509, 0.0628], [0.8691, 0.2888, 0.1176], [0.8349, 0.5987, 0.3982], [0.6654, 0.2633, 0.6401], [0.3346, 0.7367, 0.3599], [0.0073, 0.6323, 0.2651], [0.9927, 0.3677, 0.7349], [0.0000, 0.0000, 0.0000], [0.5000, 0.5000, 0.5000]]
}